1.
LaGeOs3: single point on PBEsol structure, SCAN.

Results
Final energy, eV per atom: -54.846
M_tot, μB/f.u.: 0.000
ΔH_f (0 K), eV/atom: 0.720

Lattice parameters (Å, degrees): 4.5884 4.5884 4.5884 90.00 90.00 90.00
Closest atoms and distances in Å follow each position.
Space group Pm-3m (No. 221)
Inequivalent atoms, fractional coordinates:
La: 0.0000 0.0000 0.0000  12 Os 3.24
Ge: 0.5000 0.5000 0.5000  6 Os 2.29
Os: 0.0000 0.5000 0.5000  2 Ge 2.29

2.
SiTc2Pb: single point on PBEsol structure, SCAN.

Results
Final energy, eV per atom: -38.243
M_tot, μB/f.u.: 0.000

Lattice parameters (Å, degrees): 6.3876 6.3876 6.3876 90.00 90.00 90.00
Closest atoms and distances in Å follow each position.
Space group F-43m (No. 216)
Inequivalent atoms, fractional coordinates:
Si: 0.0000 0.0000 0.0000  4 Pb 2.77, 4 Tc 2.77
Tc: 0.0000 0.0000 0.5000  4 Tc 2.77, 4 Pb 2.77
Tc: 0.2500 0.2500 0.2500  4 Tc 2.77, 4 Si 2.77
Pb: 0.2500 0.2500 0.7500  4 Tc 2.77, 4 Si 2.77

Which formula does entry 2 have?
SiTc2Pb